Entry 1:
Below is an optimized crystal structure of La15Nd4Pb, with properties calculated at the PBE level.

CIF file:
```
data_La15Nd4Pb
_cell_length_a 5.204
_cell_length_b 5.204
_cell_length_c 26.272
_cell_angle_alpha 90.00
_cell_angle_beta 90.00
_cell_angle_gamma 90.00
_space_group_name_H-M_alt 'P 4/m m m'
_space_group_IT_number 123
_space_group_name_Hall '-P 4 2'
loop_
_atom_site_label
_atom_site_fract_x
_atom_site_fract_y
_atom_site_fract_z
_atom_site_occupancy
La1 0.000 0.000 0.000 1
La2 0.000 0.000 0.199 1
La3 0.000 0.000 0.400 1
La4 0.000 0.500 0.096 1
La5 0.000 0.500 0.298 1
La6 0.000 0.500 0.500 1
Nd1 0.500 0.500 0.199 1
Nd2 0.500 0.500 0.400 1
Pb1 0.500 0.500 0.000 1
```

Summary:
Energy relative to the elements = -1.2 eV per formula unit

***

Entry 2:
Below is an optimized crystal structure of GdYGePt, with properties calculated at the PBE level.

CIF file:
```
data_GdYGePt
_cell_length_a 7.123
_cell_length_b 7.123
_cell_length_c 7.123
_cell_angle_alpha 90.00
_cell_angle_beta 90.00
_cell_angle_gamma 90.00
_space_group_name_H-M_alt 'F -4 3 m'
_space_group_IT_number 216
_space_group_name_Hall 'F -4 2 3'
loop_
_atom_site_label
_atom_site_fract_x
_atom_site_fract_y
_atom_site_fract_z
_atom_site_occupancy
Gd1 0.000 0.000 0.000 1
Y1 0.000 0.000 0.500 1
Ge1 0.250 0.250 0.750 1
Pt1 0.250 0.250 0.250 1
```

Summary:
Energy relative to the elements = -3.7 eV per formula unit

***

Entry 3:
Below is an optimized crystal structure of CeEr12Tm6, with properties calculated at the PBE level.

CIF file:
```
data_CeEr12Tm6
_cell_length_a 13.0778
_cell_length_b 13.0778
_cell_length_c 12.2291
_cell_angle_alpha 90.00
_cell_angle_beta 90.00
_cell_angle_gamma 120.00
_space_group_name_H-M_alt 'R -3 m'
_space_group_IT_number 166
_space_group_name_Hall '-R 3 2"'
loop_
_atom_site_label
_atom_site_fract_x
_atom_site_fract_y
_atom_site_fract_z
_atom_site_occupancy
Ce1 0.0000 0.0000 0.0000 1
Er1 0.0000 0.2566 0.5000 1
Er2 0.0905 0.1811 0.2597 1
Tm1 0.0381 0.5190 0.6246 1
```

Summary:
Energy relative to the elements = 4.1 eV per formula unit

***

Entry 4:
Below is an optimized crystal structure of Y2ErNpO8, with properties calculated at the PBE level.

CIF file:
```
data_Y2ErNpO8
_cell_length_a 3.852
_cell_length_b 7.410
_cell_length_c 5.382
_cell_angle_alpha 90.00
_cell_angle_beta 93.47
_cell_angle_gamma 90.00
_space_group_name_H-M_alt 'P 1 2/m 1'
_space_group_IT_number 10
_space_group_name_Hall '-P 2y'
loop_
_atom_site_label
_atom_site_fract_x
_atom_site_fract_y
_atom_site_fract_z
_atom_site_occupancy
Y1 0.000 0.240 0.000 1
Er1 0.500 0.000 0.500 1
Np1 0.500 0.500 0.500 1
O1 0.003 0.000 0.251 1
O2 0.037 0.500 0.274 1
O3 0.476 0.275 0.736 1
```

Summary:
Raw formation energy = -3.19 eV per atom

***

Entry 5:
Below is an optimized crystal structure of CoCu4Cl, with properties calculated at the PBE level.

CIF file:
```
data_CoCu4Cl
_cell_length_a 6.957
_cell_length_b 6.957
_cell_length_c 6.957
_cell_angle_alpha 90.00
_cell_angle_beta 90.00
_cell_angle_gamma 90.00
_space_group_name_H-M_alt 'F -4 3 m'
_space_group_IT_number 216
_space_group_name_Hall 'F -4 2 3'
loop_
_atom_site_label
_atom_site_fract_x
_atom_site_fract_y
_atom_site_fract_z
_atom_site_occupancy
Co1 0.000 0.000 0.000 1
Cu1 0.126 0.126 0.374 1
Cl1 0.250 0.250 0.750 1
```

Summary:
Raw formation energy = 0.52 eV per atom

***

Entry 6:
Below is an optimized crystal structure of Tb5Pa2O12, with properties calculated at the PBE level.

CIF file:
```
data_Tb5Pa2O12
_cell_length_a 12.559
_cell_length_b 6.230
_cell_length_c 7.852
_cell_angle_alpha 90.00
_cell_angle_beta 107.85
_cell_angle_gamma 90.00
_space_group_name_H-M_alt 'C 1 2/m 1'
_space_group_IT_number 12
_space_group_name_Hall '-C 2y'
loop_
_atom_site_label
_atom_site_fract_x
_atom_site_fract_y
_atom_site_fract_z
_atom_site_occupancy
Tb1 0.000 0.000 0.000 1
Tb2 0.189 0.500 0.295 1
Tb3 0.205 0.500 0.864 1
Pa1 0.000 0.228 0.500 1
O1 0.007 0.500 0.317 1
O2 0.018 0.000 0.290 1
O3 0.152 0.255 0.061 1
O4 0.176 0.263 0.613 1
```

Summary:
Raw formation energy = -3.42 eV per atom